Entry 1:
AgIrRu2: relaxed, PBE-GGA.

As for the total magnetization: 1.47 Bohr magnetons per cell. As for the energy relative to the lowest polymorph listed for this composition: 450 meV/atom.

Lattice parameters (Å, degrees): 4.4101 4.4101 4.4101 60.00 60.00 60.00
Element x y z (fractional)
Ru  0.7500  0.7500  0.7500
Ir  0.5000  0.5000  0.5000
Ag  0.0000  0.0000  0.0000
Ru  0.2500  0.2500  0.2500


Entry 2:
Ag2IrRu: relaxed, PBE-GGA.

As for the total magnetization: 0.92 Bohr magnetons per cell. As for the energy relative to the lowest polymorph listed for this composition: 242 meV/atom.

Lattice parameters (Å, degrees): 2.7633 4.7830 5.7498 56.40 90.00 90.00
Element x y z (fractional)
Ag  0.5000  0.5000  0.0000
Ru  0.0000  0.0000  0.5000
Ag  0.0000  0.0000  0.0000
Ir  0.5000  0.5000  0.5000


Entry 3:
Ag3IrRu: relaxed, PBE-GGA.

As for the total magnetization: 3.96 Bohr magnetons per cell. As for the energy relative to the lowest polymorph listed for this composition: 0 meV/atom.

Lattice parameters (Å, degrees): 4.9991 4.9991 4.9991 90.00 90.00 90.00
Element x y z (fractional)
Ag  0.0000  0.0000  0.5000
Ru  0.5000  0.5000  0.5000
Ag  0.0000  0.5000  0.0000
Ag  0.5000  0.0000  0.0000
Ir  0.0000  0.0000  0.0000


Entry 4:
AgIr2Ru: relaxed, PBE-GGA.

As for the total magnetization: 0.00 Bohr magnetons per cell. As for the energy relative to the lowest polymorph listed for this composition: 255 meV/atom.

Lattice parameters (Å, degrees): 5.5456 5.5456 5.5456 151.45 130.02 58.57
Element x y z (fractional)
Ir  0.5198  0.5198  0.0000
Ag  0.2500  0.7500  0.5000
Ru  0.7500  0.2500  0.5000
Ir  0.9802  0.9802  0.0000


Entry 5:
AgIr2Ru: relaxed, PBE-GGA.

As for the total magnetization: 0.00 Bohr magnetons per cell. As for the energy relative to the lowest polymorph listed for this composition: 465 meV/atom.

Lattice parameters (Å, degrees): 4.4223 4.4223 4.4223 60.00 60.00 60.00
Element x y z (fractional)
Ir  0.0000  0.0000  0.0000
Ru  0.7500  0.7500  0.7500
Ag  0.5000  0.5000  0.5000
Ir  0.2500  0.2500  0.2500


Entry 6:
Ag2IrRu: relaxed, PBE-GGA.

As for the total magnetization: 2.56 Bohr magnetons per cell. As for the energy relative to the lowest polymorph listed for this composition: 388 meV/atom.

Lattice parameters (Å, degrees): 5.1706 5.1706 5.1706 136.50 136.50 63.21
Element x y z (fractional)
Ag  0.5000  0.5000  0.0000
Ir  0.2500  0.7500  0.5000
Ag  0.0000  0.0000  0.0000
Ru  0.7500  0.2500  0.5000